# 1
An optimized crystal structure of HfSiMo. Source: OQMD via LeMat-Bulk, functional PBE-GGA.

a b c (Å): 7.224 7.224 3.347
angles (deg): 90.00 90.00 120.00
Sites, in units of the cell vectors:
Hf (0.270, 0.000, 0.000)
Hf (0.000, 0.270, 0.000)
Hf (0.730, 0.730, 0.000)
Mo (0.607, 0.000, 0.500)
Mo (0.393, 0.393, 0.500)
Mo (0.000, 0.607, 0.500)
Si (0.667, 0.333, 0.000)
Si (0.333, 0.667, 0.000)
Si (0.000, 0.000, 0.500)

## Properties
Total DFT energy (no corrections), eV for the cell shown: -81.254
E above lowest polymorph, meV per atom: 422
Magnetization, μB/f.u.: 0.00



# 2
An optimized crystal structure of KCuNiW. Source: OQMD via LeMat-Bulk, functional PBE-GGA.

a b c (Å): 4.459 4.459 4.459
angles (deg): 60.00 60.00 60.00
Sites, in units of the cell vectors:
Cu (0.750, 0.750, 0.750)
K (0.000, 0.000, 0.000)
Ni (0.500, 0.500, 0.500)
W (0.250, 0.250, 0.250)

## Properties
Total DFT energy (no corrections), eV for the cell shown: -17.343
E above lowest polymorph, meV per atom: 62
Magnetization, μB/f.u.: 0.00



# 3
An optimized crystal structure of AcMgU. Source: OQMD via LeMat-Bulk, functional PBE-GGA.

a b c (Å): 5.321 5.321 5.321
angles (deg): 60.00 60.00 60.00
Sites, in units of the cell vectors:
Ac (0.250, 0.250, 0.250)
Mg (0.750, 0.750, 0.750)
U (0.000, 0.000, 0.000)

## Properties
Total DFT energy (no corrections), eV for the cell shown: -13.335
E above lowest polymorph, meV per atom: 0
Magnetization, μB/f.u.: 3.27



# 4
An optimized crystal structure of DyCdInSe3. Source: OQMD via LeMat-Bulk, functional PBE-GGA.

a b c (Å): 12.510 4.249 12.553
angles (deg): 90.00 90.00 90.00
Sites, in units of the cell vectors:
Cd (0.756, 0.000, 0.191)
Cd (0.256, 0.000, 0.309)
Cd (0.744, 0.500, 0.691)
Cd (0.244, 0.500, 0.809)
Dy (0.470, 0.500, 0.168)
Dy (0.970, 0.500, 0.332)
Dy (0.030, 0.000, 0.668)
Dy (0.530, 0.000, 0.832)
In (0.155, 0.000, 0.014)
In (0.655, 0.000, 0.486)
In (0.345, 0.500, 0.514)
In (0.845, 0.500, 0.986)
Se (0.589, 0.000, 0.064)
Se (0.970, 0.000, 0.170)
Se (0.241, 0.500, 0.176)
Se (0.741, 0.500, 0.324)
Se (0.470, 0.000, 0.330)
Se (0.089, 0.000, 0.436)
Se (0.911, 0.500, 0.564)
Se (0.530, 0.500, 0.670)
Se (0.259, 0.000, 0.676)
Se (0.759, 0.000, 0.824)
Se (0.030, 0.500, 0.830)
Se (0.411, 0.500, 0.936)

## Properties
Total DFT energy (no corrections), eV for the cell shown: -98.297
E above lowest polymorph, meV per atom: 28
Magnetization, μB/f.u.: 0.00